(1)
# CuAgPb2 GGA-PBEsol relaxed
data_CuAgPb2
_chemical_formula_sum 'Cu1 Ag1 Pb2'
_cell_length_a 5.731
_cell_length_b 5.731
_cell_length_c 5.731
_cell_angle_alpha 137.10
_cell_angle_beta 137.10
_cell_angle_gamma 62.28
_symmetry_space_group_name_H-M 'P 1'
_symmetry_Int_Tables_number 1
_symmetry_space_group_name_Hall 'P 1'
loop_
_atom_site_label
_atom_site_fract_x
_atom_site_fract_y
_atom_site_fract_z
Cu1 0.000 0.000 0.000
Ag1 0.250 0.750 0.500
Pb1 0.500 0.500 0.000
Pb2 0.750 0.250 0.500
# E_form = 293 meV per atom
# total moment = 0.000 μB per formula unit
# SG = I-4m2, No. 119



(2)
# CuTcAg2Pb GGA-PBEsol relaxed
data_CuTcAg2Pb
_chemical_formula_sum 'Cu1 Tc1 Ag2 Pb1'
_cell_length_a 5.118
_cell_length_b 5.118
_cell_length_c 4.755
_cell_angle_alpha 90.00
_cell_angle_beta 90.00
_cell_angle_gamma 90.00
_symmetry_space_group_name_H-M 'P 1'
_symmetry_Int_Tables_number 1
_symmetry_space_group_name_Hall 'P 1'
loop_
_atom_site_label
_atom_site_fract_x
_atom_site_fract_y
_atom_site_fract_z
Cu1 0.000 0.000 0.000
Tc1 0.500 0.500 0.000
Ag1 0.000 0.500 0.500
Ag2 0.500 0.000 0.500
Pb1 0.000 0.000 0.500
# E_form = 1715 meV per atom
# total moment = 4.208 μB per formula unit
# SG = P4/mmm, No. 123



(3)
# CuAgTe2Pb GGA-PBEsol relaxed
data_CuAgTe2Pb
_chemical_formula_sum 'Cu1 Ag1 Te2 Pb1'
_cell_length_a 5.196
_cell_length_b 5.196
_cell_length_c 4.740
_cell_angle_alpha 90.00
_cell_angle_beta 90.00
_cell_angle_gamma 90.00
_symmetry_space_group_name_H-M 'P 1'
_symmetry_Int_Tables_number 1
_symmetry_space_group_name_Hall 'P 1'
loop_
_atom_site_label
_atom_site_fract_x
_atom_site_fract_y
_atom_site_fract_z
Cu1 0.000 0.000 0.000
Ag1 0.000 0.000 0.500
Te1 0.000 0.500 0.000
Te2 0.500 0.000 0.000
Pb1 0.500 0.500 0.500
# final energy = -17.62 eV/f.u.
# total moment = 0.000 μB per formula unit
# SG = P4/mmm, No. 123



Copy entry 3 word for word.
# CuAgTe2Pb GGA-PBEsol relaxed
data_CuAgTe2Pb
_chemical_formula_sum 'Cu1 Ag1 Te2 Pb1'
_cell_length_a 5.196
_cell_length_b 5.196
_cell_length_c 4.740
_cell_angle_alpha 90.00
_cell_angle_beta 90.00
_cell_angle_gamma 90.00
_symmetry_space_group_name_H-M 'P 1'
_symmetry_Int_Tables_number 1
_symmetry_space_group_name_Hall 'P 1'
loop_
_atom_site_label
_atom_site_fract_x
_atom_site_fract_y
_atom_site_fract_z
Cu1 0.000 0.000 0.000
Ag1 0.000 0.000 0.500
Te1 0.000 0.500 0.000
Te2 0.500 0.000 0.000
Pb1 0.500 0.500 0.500
# final energy = -17.62 eV/f.u.
# total moment = 0.000 μB per formula unit
# SG = P4/mmm, No. 123



The highest total moment belongs to which entry?
CuTcAg2Pb